Below is a geometry-optimized YAs2Os structure, with properties calculated at the PBE level.

abc: 4.744 4.744 4.744
angles: 60.00 60.00 60.00
Fractional coordinates of all 4 atoms:
Y 0.000 0.000 0.000
As 0.250 0.250 0.250
As 0.500 0.500 0.500
Os 0.750 0.750 0.750

Results
Its symmetry is F-43m (216). For the energy relative to the lowest polymorph listed for this composition, the calculation gives 0.6461 eV/atom. The total DFT energy (no corrections) comes out at -0.4882 Ry per atom. The value obtained for the calculated volume is 75.5 Å³/cell.